# Sr2Zn2Hg PBE relaxed
data_Sr2Zn2Hg
_chemical_formula_sum 'Sr8 Zn8 Hg4'
_cell_length_a 11.683
_cell_length_b 4.805
_cell_length_c 11.946
_cell_angle_alpha 90.00
_cell_angle_beta 119.21
_cell_angle_gamma 90.00
_space_group_name_H-M_alt 'C 1 2/m 1'
_space_group_IT_number 12
loop_
_space_group_symop_operation_xyz
'x,y,z'
'-x,-y,-z'
'-x,y,-z'
'x,-y,z'
'x+1/2,y+1/2,z'
'-x+1/2,-y+1/2,-z'
'-x+1/2,y+1/2,-z'
'x+1/2,-y+1/2,z'
loop_
_atom_site_label
_atom_site_type_symbol
_atom_site_fract_x
_atom_site_fract_y
_atom_site_fract_z
Sr1 Sr 0.091 0.000 0.391
Sr2 Sr 0.193 0.500 0.155
Zn1 Zn 0.056 0.000 0.929
Zn2 Zn 0.114 0.500 0.605
Hg1 Hg 0.096 0.500 0.833
# Fermi-level density of states   15.22 states/eV/cell
# ΔH_f (0 K)   -0.31 eV/atom
# Distance to the lowest polymorph of the same formula   0 meV/atom